Arrangement i

A plane-wave DFT calculation with PBE was carried out for crystalline CaTlHgPb at its relaxed geometry.

symmetry = F-43m (216)

The structure in POSCAR format:
```
CaTlHgPb
1.0
5.484 0.000 0.000
2.742 4.750 0.000
2.742 1.583 4.478
Pb Tl Ca Hg
1 1 1 1
direct
0.000 0.000 0.000 Pb
0.250 0.250 0.250 Tl
0.750 0.750 0.750 Ca
0.500 0.500 0.500 Hg
```

Arrangement ii

A plane-wave DFT calculation with PBE was carried out for crystalline CaTlHgPb at its relaxed geometry.

symmetry = Cm (8)

The structure in POSCAR format:
```
CaTlHgPb
1.0
-3.715 2.989 0.638
-2.050 -3.182 2.976
5.189 2.169 1.917
Ca Tl Hg Pb
1 1 1 1
direct
0.500 0.500 0.000 Ca
0.750 0.249 0.500 Tl
0.250 0.751 0.500 Hg
0.000 0.000 0.000 Pb
```

Most stable one: arrangement ii, least stable one: arrangement i.

Arrangement i

A plane-wave DFT calculation with PBE was carried out for crystalline Ca3HgPd at its relaxed geometry.

symmetry = C2/c (15)

The structure in POSCAR format:
```
Ca3HgPd
1.0
-7.718 0.120 -0.657
0.452 -6.065 -6.466
-0.517 -7.535 4.664
Ca Hg Pd
12 4 4
direct
0.595 0.818 0.969 Ca
0.905 0.031 0.182 Ca
0.405 0.182 0.031 Ca
0.095 0.969 0.818 Ca
0.795 0.435 0.064 Ca
0.705 0.936 0.565 Ca
0.205 0.565 0.936 Ca
0.295 0.064 0.435 Ca
0.595 0.532 0.681 Ca
0.905 0.319 0.468 Ca
0.405 0.468 0.319 Ca
0.095 0.681 0.532 Ca
0.250 0.822 0.178 Hg
0.750 0.178 0.822 Hg
0.250 0.323 0.677 Hg
0.750 0.677 0.323 Hg
0.875 0.699 0.802 Pd
0.625 0.198 0.301 Pd
0.125 0.301 0.198 Pd
0.375 0.802 0.699 Pd
```

Arrangement ii

A plane-wave DFT calculation with PBE was carried out for crystalline Ca3HgPd at its relaxed geometry.

symmetry = P2_1/c (14)

The structure in POSCAR format:
```
Ca3HgPd
1.0
8.616 0.000 0.000
0.000 7.163 -1.821
0.000 1.765 8.831
Ca Hg Pd
12 4 4
direct
0.104 0.672 0.769 Ca
0.896 0.328 0.231 Ca
0.604 0.828 0.231 Ca
0.396 0.172 0.769 Ca
0.706 0.487 0.907 Ca
0.294 0.513 0.093 Ca
0.206 0.013 0.093 Ca
0.794 0.987 0.907 Ca
0.018 0.203 0.620 Ca
0.982 0.797 0.380 Ca
0.518 0.297 0.380 Ca
0.482 0.703 0.620 Ca
0.796 0.520 0.552 Hg
0.204 0.480 0.448 Hg
0.296 0.980 0.448 Hg
0.704 0.020 0.552 Hg
0.040 0.317 0.933 Pd
0.960 0.683 0.067 Pd
0.540 0.183 0.067 Pd
0.460 0.817 0.933 Pd
```

Arrangement iii

A plane-wave DFT calculation with PBE was carried out for crystalline Ca3HgPd at its relaxed geometry.

symmetry = Pm-3m (221)

The structure in POSCAR format:
```
Ca3HgPd
1.0
-1.543 5.289 -0.576
-4.875 -1.165 2.359
2.132 1.164 4.979
Ca Hg Pd
3 1 1
direct
0.000 0.500 0.000 Ca
0.000 0.000 0.500 Ca
0.500 0.000 0.000 Ca
0.500 0.500 0.500 Hg
0.000 0.000 0.000 Pd
```

Most stable one: arrangement ii, least stable one: arrangement iii.

Arrangement i

A plane-wave DFT calculation with PBE was carried out for crystalline CaHg4Pd at its relaxed geometry.

symmetry = P4/mmm (123)

The structure in POSCAR format:
```
CaHg4Pd
1.0
-1.936 -3.128 -2.744
3.185 -3.062 1.244
-4.564 -2.351 5.899
Ca Hg Pd
1 4 1
direct
0.000 0.000 0.000 Ca
0.500 0.000 0.715 Hg
0.000 0.500 0.715 Hg
0.500 0.000 0.285 Hg
0.000 0.500 0.285 Hg
0.500 0.500 0.500 Pd
```

Arrangement ii

A plane-wave DFT calculation with PBE was carried out for crystalline CaHg4Pd at its relaxed geometry.

symmetry = C2/m (12)

The structure in POSCAR format:
```
CaHg4Pd
1.0
5.428 0.149 -0.938
-0.651 7.170 -2.632
-0.360 -1.256 7.830
Ca Hg Pd
2 8 2
direct
0.147 0.217 0.434 Ca
0.853 0.783 0.566 Ca
0.732 0.343 0.686 Hg
0.585 0.314 0.248 Hg
0.000 0.197 0.000 Hg
0.415 0.066 0.752 Hg
0.268 0.657 0.314 Hg
0.415 0.686 0.752 Hg
0.000 0.803 0.000 Hg
0.585 0.934 0.248 Hg
0.756 0.562 0.123 Pd
0.244 0.438 0.877 Pd
```

Most stable one: arrangement ii, least stable one: arrangement i.

Arrangement i

A plane-wave DFT calculation with PBE was carried out for crystalline Ca4HgPd2 at its relaxed geometry.

symmetry = R-3m (166)

The structure in POSCAR format:
```
Ca4HgPd2
1.0
-0.970 2.256 4.105
1.545 -1.813 4.148
8.799 5.458 1.865
Ca Hg Pd
4 1 2
direct
0.387 0.387 0.840 Ca
0.202 0.202 0.394 Ca
0.798 0.798 0.606 Ca
0.613 0.613 0.160 Ca
0.000 0.000 0.000 Hg
0.095 0.095 0.716 Pd
0.905 0.905 0.284 Pd
```

Arrangement ii

A plane-wave DFT calculation with PBE was carried out for crystalline Ca4HgPd2 at its relaxed geometry.

symmetry = Cmcm (63)

The structure in POSCAR format:
```
Ca4HgPd2
1.0
5.199 -0.002 0.000
-2.601 4.502 0.000
0.000 0.000 15.789
Ca Hg Pd
8 2 4
direct
0.167 0.833 0.877 Ca
0.167 0.833 0.623 Ca
0.833 0.167 0.123 Ca
0.833 0.167 0.377 Ca
0.166 0.834 0.250 Ca
0.834 0.166 0.750 Ca
0.500 0.500 0.000 Ca
0.500 0.500 0.500 Ca
0.499 0.501 0.250 Hg
0.501 0.499 0.750 Hg
0.834 0.166 0.560 Pd
0.166 0.834 0.060 Pd
0.834 0.166 0.940 Pd
0.166 0.834 0.440 Pd
```

Most stable one: arrangement ii, least stable one: arrangement i.

Arrangement i

A plane-wave DFT calculation with PBE was carried out for crystalline Ca3Hg3Pd2 at its relaxed geometry.

symmetry = Cmcm (63)

The structure in POSCAR format:
```
Ca3Hg3Pd2
1.0
-2.823 0.632 3.093
1.084 -5.736 -0.738
12.623 0.927 11.332
Ca Hg Pd
6 6 4
direct
0.938 0.875 0.392 Ca
0.062 0.125 0.892 Ca
0.938 0.875 0.108 Ca
0.062 0.125 0.608 Ca
0.667 0.334 0.250 Ca
0.333 0.666 0.750 Ca
0.637 0.275 0.468 Hg
0.363 0.725 0.968 Hg
0.637 0.275 0.032 Hg
0.363 0.725 0.532 Hg
0.387 0.774 0.250 Hg
0.613 0.226 0.750 Hg
0.769 0.539 0.879 Pd
0.231 0.461 0.379 Pd
0.769 0.539 0.621 Pd
0.231 0.461 0.121 Pd
```

Arrangement ii

A plane-wave DFT calculation with PBE was carried out for crystalline Ca3Hg3Pd2 at its relaxed geometry.

symmetry = Pnma (62)

The structure in POSCAR format:
```
Ca3Hg3Pd2
1.0
-2.509 -5.156 -1.355
6.556 -3.782 2.254
-6.127 -1.180 15.837
Ca Hg Pd
12 12 8
direct
0.116 0.464 0.391 Ca
0.616 0.036 0.609 Ca
0.884 0.536 0.891 Ca
0.384 0.964 0.109 Ca
0.884 0.536 0.609 Ca
0.384 0.964 0.391 Ca
0.116 0.464 0.109 Ca
0.616 0.036 0.891 Ca
0.644 0.334 0.250 Ca
0.144 0.166 0.750 Ca
0.356 0.666 0.750 Ca
0.856 0.834 0.250 Ca
0.154 0.181 0.250 Hg
0.654 0.319 0.750 Hg
0.846 0.819 0.750 Hg
0.346 0.681 0.250 Hg
0.587 0.315 0.467 Hg
0.087 0.185 0.533 Hg
0.413 0.685 0.967 Hg
0.913 0.815 0.033 Hg
0.413 0.685 0.533 Hg
0.913 0.815 0.467 Hg
0.587 0.315 0.033 Hg
0.087 0.185 0.967 Hg
0.883 0.115 0.380 Pd
0.383 0.385 0.620 Pd
0.117 0.885 0.880 Pd
0.617 0.615 0.120 Pd
0.117 0.885 0.620 Pd
0.617 0.615 0.380 Pd
0.883 0.115 0.120 Pd
0.383 0.385 0.880 Pd
```

Most stable one: arrangement i, least stable one: arrangement ii.

Arrangement i

A plane-wave DFT calculation with PBE was carried out for crystalline SrCa2HgPd at its relaxed geometry.

symmetry = P4/mmm (123)

The structure in POSCAR format:
```
SrCa2HgPd
1.0
-2.876 1.010 -4.635
-4.667 -1.572 2.554
-0.901 5.548 1.768
Sr Ca Hg Pd
1 2 1 1
direct
0.000 0.000 0.500 Sr
0.000 0.500 0.000 Ca
0.500 0.000 0.000 Ca
0.500 0.500 0.500 Hg
0.000 0.000 0.000 Pd
```

Arrangement ii

A plane-wave DFT calculation with PBE was carried out for crystalline SrCa2HgPd at its relaxed geometry.

symmetry = P4/mmm (123)

The structure in POSCAR format:
```
SrCa2HgPd
1.0
5.495 0.000 0.000
0.000 5.495 0.000
0.000 0.000 5.505
Sr Ca Hg Pd
1 2 1 1
direct
0.500 0.500 0.500 Sr
0.000 0.500 0.000 Ca
0.500 0.000 0.000 Ca
0.000 0.000 0.500 Hg
0.000 0.000 0.000 Pd
```

Most stable one: arrangement i, least stable one: arrangement ii.